Crystalline Tb6Sm2DyY3 at its relaxed geometry. Source: the Alexandria database, functional PBE.

Output
ΔE_f = 16 meV/atom
Space group = C2/m, No. 12
Fermi-level density of states = 1.34 states/eV/atom
Magnetization = 0.000 μB per formula unit

The structure in POSCAR format:
```
Tb6Sm2DyY3
1.0
3.095 -5.357 0.000
3.095 5.357 0.000
-2.051 0.000 11.664
Tb Sm Dy Y
6 2 1 3
Cartesian
0.011 1.783 8.755
1.028 0.000 2.907
0.011 -1.783 8.755
4.128 1.783 2.909
3.111 0.000 8.757
4.128 -1.783 2.909
2.070 1.785 5.832
2.070 -1.785 5.832
-1.026 0.000 5.832
3.095 3.573 0.000
3.095 0.000 0.000
3.095 -3.573 0.000
```


Crystalline Li2MgRh at its relaxed geometry. Source: the Alexandria database, functional PBE.

Output
ΔE_f = -160 meV/atom
Space group = Pm, No. 6
Fermi-level density of states = 0.64 states/eV/atom
Magnetization = 0.070 μB per formula unit

The structure in POSCAR format:
```
Li2MgRh
1.0
2.878 0.000 0.000
0.000 4.096 0.000
-1.156 0.000 5.382
Li Mg Rh
2 1 1
Cartesian
0.000 0.000 0.000
1.157 2.048 1.251
-0.441 0.000 2.951
0.896 2.048 4.017
```


Crystalline LaP2RuSe at its relaxed geometry. Source: the Alexandria database, functional PBE.

Output
Space group = P4/mmm, No. 123
Fermi-level density of states = 0.99 states/eV/atom
E_form (uncorrected) = 19.3 kcal/mol of atoms
Magnetization = 1.703 μB per formula unit

The structure in POSCAR format:
```
LaP2RuSe
1.0
4.782 0.000 0.000
0.000 4.782 0.000
0.000 0.000 5.455
La P Ru Se
1 2 1 1
Cartesian
0.000 0.000 0.000
0.000 2.391 2.727
2.391 0.000 2.727
2.391 2.391 0.000
0.000 0.000 2.727
```


Crystalline BaH2Rh at its relaxed geometry. Source: the Alexandria database, functional PBE.

Output
Relative energy among the computed polymorphs = 685.6 meV per atom
Space group = Fm-3m, No. 225
Fermi-level density of states = 1.03 states/eV/atom
Magnetization = 0.576 μB per formula unit

The structure in POSCAR format:
```
BaH2Rh
1.0
0.000 3.153 3.153
3.153 0.000 3.153
3.153 3.153 0.000
Ba H Rh
1 2 1
Cartesian
0.000 0.000 0.000
1.577 1.577 1.577
4.730 4.730 4.730
3.153 3.153 3.153
```


Crystalline HoScGa2 at its relaxed geometry. Source: the Alexandria database, functional PBE.

Output
Relative energy among the computed polymorphs = 172.9 meV per atom
ΔE_f = -411 meV/atom
Space group = R-3m, No. 166
Fermi-level density of states = 0.51 states/eV/atom
Magnetization = 0.000 μB per formula unit

The structure in POSCAR format:
```
HoScGa2
1.0
1.749 1.010 8.547
-1.749 1.010 8.547
0.000 -2.019 8.547
Ho Sc Ga
1 1 2
Cartesian
0.000 0.000 0.000
0.000 0.000 12.820
0.000 0.000 6.315
0.000 0.000 19.325
```


Crystalline TlTcMo at its relaxed geometry. Source: the Alexandria database, functional PBE.

Output
Relative energy among the computed polymorphs = 587.4 meV per atom
ΔE_f = 883 meV/atom
Space group = F-43m, No. 216
Fermi-level density of states = 1.35 states/eV/atom
Magnetization = 0.000 μB per formula unit

The structure in POSCAR format:
```
TlTcMo
1.0
0.000 3.124 3.124
3.124 0.000 3.124
3.124 3.124 0.000
Tl Tc Mo
1 1 1
Cartesian
0.000 0.000 0.000
4.686 4.686 4.686
3.124 3.124 3.124
```


Number 1: ρ 7.23 g cm⁻³. Number 2: ρ 3.69 g cm⁻³. Number 3: ρ 5.07 g cm⁻³. Number 4: ρ 6.42 g cm⁻³. Number 5: ρ 6.41 g cm⁻³. Number 6: ρ 10.85 g cm⁻³.